Record 1
Crystalline NaZrTe3Pd at its relaxed geometry, computed with PBE.

a b c (Å): 8.3044 3.9835 10.4604
angles (deg): 90.00 109.57 90.00
Last column: nearest neighbours and their distance in Å.
Element x y z (fractional)
Pd  0.4139  0.2500  0.8930  4 Te 2.71-2.80, 2 Pd 2.98
Pd  0.5861  0.7500  0.1070  4 Te 2.71-2.80, 2 Pd 2.98
Te  0.2357  0.7500  0.9593  3 Pd 2.71-2.80, 1 Zr 2.87
Te  0.0680  0.7500  0.3723  3 Zr 2.96-3.02, 2 Na 3.21
Te  0.9320  0.2500  0.6277  3 Zr 2.96-3.02, 2 Na 3.21
Te  0.7643  0.2500  0.0407  3 Pd 2.71-2.80, 1 Zr 2.87
Te  0.4428  0.2500  0.6423  1 Pd 2.71, 2 Zr 2.88
Te  0.5572  0.7500  0.3577  1 Pd 2.71, 2 Zr 2.88
Zr  0.7892  0.2500  0.3210  6 Te 2.87-3.02, 2 Pd 3.05
Zr  0.2108  0.7500  0.6790  6 Te 2.87-3.02, 2 Pd 3.05
Na  0.7681  0.7500  0.7912  6 Te 3.21-3.30
Na  0.2319  0.2500  0.2088  6 Te 3.21-3.30

## Properties
- E above lowest polymorph: 0.036 eV per formula unit
- Electronic total energy: -58.4 eV per cell
- Size of the total moment: 0.01 μB/f.u.


Record 2
Crystalline ScBeCuP2 at its relaxed geometry, computed with PBE.

a b c (Å): 3.7464 3.7464 6.1407
angles (deg): 90.00 90.00 120.00
Last column: nearest neighbours and their distance in Å.
Element x y z (fractional)
P  0.0000  0.0000  0.2528  3 Cu 2.28, 1 Be 2.29
P  0.6667  0.3333  0.7437  3 Be 2.28, 1 Cu 2.31
Be  0.0000  0.0000  0.6251  4 P 2.28-2.29
Sc  0.3333  0.6667  0.0100  6 P 2.63-2.71
Cu  0.6667  0.3333  0.3682  4 P 2.28-2.31

## Properties
- Electronic total energy: -28.3 eV per cell
- Size of the total moment: 0.00 μB/f.u.


Record 3
Crystalline Y3Mg3ZnGaCu at its relaxed geometry, computed with PBE.

a b c (Å): 7.4442 7.4442 4.1723
angles (deg): 90.00 90.00 120.00
Last column: nearest neighbours and their distance in Å.
Element x y z (fractional)
Mg  0.9998  0.2420  0.0000  2 Cu 2.76, 1 Zn 2.88, 1 Ga 2.88
Mg  0.7580  0.7578  0.0000  2 Cu 2.76, 1 Zn 2.88, 1 Ga 2.88
Mg  0.2422  0.0002  0.0000  2 Cu 2.76, 1 Zn 2.88, 1 Ga 2.88
Y  0.5891  0.9985  0.5000  1 Cu 3.05, 2 Ga 3.06, 2 Zn 3.08, 6 Mg 3.32-3.38
Y  0.0015  0.5906  0.5000  1 Cu 3.05, 2 Ga 3.06, 2 Zn 3.08, 6 Mg 3.32-3.38
Y  0.4094  0.4109  0.5000  1 Cu 3.05, 2 Ga 3.06, 2 Zn 3.08, 6 Mg 3.32-3.38
Cu  0.0000  0.0000  0.5000  6 Mg 2.76, 3 Y 3.05
Ga  0.3333  0.6667  0.0000  3 Mg 2.88, 6 Y 3.06
Zn  0.6667  0.3333  0.0000  3 Mg 2.88, 6 Y 3.08

## Properties
- Electronic total energy: -35.2 eV per cell
- Size of the total moment: 0.02 μB/f.u.


Record 4
Crystalline MgGa6Fe6 at its relaxed geometry, computed with PBE.

a b c (Å): 6.5069 6.5069 6.5069
angles (deg): 135.00 99.84 97.01
Last column: nearest neighbours and their distance in Å.
Element x y z (fractional)
Fe  0.5000  0.0000  0.0000  4 Fe 2.49, 6 Ga 2.52-2.56
Fe  0.2462  0.5000  0.7462  4 Fe 2.49, 6 Ga 2.54-2.56
Fe  0.0000  0.0000  0.5000  4 Fe 2.49, 6 Ga 2.52-2.56
Fe  0.0000  0.5000  0.0000  4 Fe 2.49, 6 Ga 2.52-2.56
Fe  0.7538  0.5000  0.2538  4 Fe 2.49, 6 Ga 2.54-2.56
Fe  0.5000  0.5000  0.5000  4 Fe 2.49, 6 Ga 2.52-2.56
Ga  0.6605  0.6605  0.0000  6 Fe 2.54-2.56, 1 Ga 2.77
Ga  0.3395  0.3395  0.0000  6 Fe 2.54-2.56, 1 Ga 2.77
Ga  0.6804  0.0000  0.6804  6 Fe 2.56, 1 Mg 2.68
Ga  0.1742  0.6742  0.5000  6 Fe 2.52-2.55
Ga  0.3196  0.0000  0.3196  6 Fe 2.56, 1 Mg 2.68
Ga  0.8258  0.3258  0.5000  6 Fe 2.52-2.55
Mg  0.0000  0.0000  0.0000  8 Ga 2.68-2.93

## Properties
- Electronic total energy: -72.1 eV per cell
- Size of the total moment: 10.85 μB/f.u.


Record 5
Crystalline HfTcAs2 at its relaxed geometry, computed with PBE.

a b c (Å): 4.5942 4.5942 4.5942
angles (deg): 60.00 60.00 60.00
Last column: nearest neighbours and their distance in Å.
Element x y z (fractional)
As  0.5000  0.5000  0.5000  4 As 2.81, 4 Hf 2.81
As  0.7500  0.7500  0.7500  4 As 2.81, 4 Tc 2.81
Hf  0.2500  0.2500  0.2500  4 As 2.81, 4 Tc 2.81
Tc  0.0000  0.0000  0.0000  4 Hf 2.81, 4 As 2.81

## Properties
- Electronic total energy: -29.8 eV per cell
- Size of the total moment: 0.00 μB/f.u.


Record 6
Crystalline RbBeNi at its relaxed geometry, computed with PBE.

a b c (Å): 4.6602 4.6602 4.6602
angles (deg): 60.00 60.00 60.00
Last column: nearest neighbours and their distance in Å.
Element x y z (fractional)
Ni  0.0000  0.0000  0.0000  4 Rb 2.85, 4 Be 2.85
Rb  0.7500  0.7500  0.7500  4 Ni 2.85
Be  0.2500  0.2500  0.2500  4 Ni 2.85

## Properties
- E above lowest polymorph: 0.000 eV per formula unit
- Electronic total energy: -6.3 eV per cell
- Size of the total moment: 0.02 μB/f.u.


Record 7
Crystalline PmCdIr at its relaxed geometry, computed with PBE.

a b c (Å): 4.8189 4.8189 4.8189
angles (deg): 60.00 60.00 60.00
Last column: nearest neighbours and their distance in Å.
Element x y z (fractional)
Cd  0.7500  0.7500  0.7500  4 Pm 2.95
Pm  0.5000  0.5000  0.5000  4 Cd 2.95, 4 Ir 2.95
Ir  0.2500  0.2500  0.2500  4 Pm 2.95

## Properties
- E above lowest polymorph: 1.786 eV per formula unit
- Electronic total energy: -13.8 eV per cell
- Size of the total moment: 0.00 μB/f.u.


Record 8
Crystalline Sr2W at its relaxed geometry, computed with PBE.

a b c (Å): 5.5647 5.5647 5.5647
angles (deg): 60.00 60.00 60.00
Last column: nearest neighbours and their distance in Å.
Element x y z (fractional)
Sr  0.7500  0.7500  0.7500  4 W 3.41
Sr  0.2500  0.2500  0.2500  4 W 3.41
W  0.0000  0.0000  0.0000  8 Sr 3.41

## Properties
- E above lowest polymorph: 0.000 eV per formula unit
- Electronic total energy: -11.7 eV per cell
- Size of the total moment: 3.95 μB/f.u.


Copy entry 8 word for word.
Crystalline Sr2W at its relaxed geometry, computed with PBE.

a b c (Å): 5.5647 5.5647 5.5647
angles (deg): 60.00 60.00 60.00
Last column: nearest neighbours and their distance in Å.
Element x y z (fractional)
Sr  0.7500  0.7500  0.7500  4 W 3.41
Sr  0.2500  0.2500  0.2500  4 W 3.41
W  0.0000  0.0000  0.0000  8 Sr 3.41

## Properties
- E above lowest polymorph: 0.000 eV per formula unit
- Electronic total energy: -11.7 eV per cell
- Size of the total moment: 3.95 μB/f.u.